DFT (PBE) results for an optimized crystal structure of BeIn2Co.

Cell lengths 3.2709, 3.3413, 6.6833 Å; angles 60.01, 90.00, 90.00 degrees
Fractional coordinates of all 4 atoms:
Be: 0.5000 0.2500 0.2500
Co: 0.5000 0.7500 0.7500
In: 0.0000 0.0015 0.9984
In: 0.0000 0.4985 0.5016

Output
E_form: 343 meV per atom
spin magnetization: 0.480 μB/cell
E: -3.734 eV per atom

DFT (PBE) results for an optimized crystal structure of Sm3Pt.

Cell lengths 3.7690, 5.4101, 6.4670 Å; angles 114.73, 106.94, 90.00 degrees
Fractional coordinates of all 4 atoms:
Sm: 0.2981 0.7138 0.5963
Sm: 0.5000 0.4156 0.0000
Sm: 0.7019 0.1175 0.4037
Pt: 0.0000 0.9198 0.0000

Output
E_form: -543 meV per atom
spin magnetization: 0.000 μB/cell
E: -5.593 eV per atom

DFT (PBE) results for an optimized crystal structure of Dy8Mg2In.

Cell lengths 5.4849, 8.7511, 8.7511 Å; angles 119.92, 102.01, 102.01 degrees
Fractional coordinates of all 11 atoms:
Dy: 0.8730 0.9038 0.6776
Dy: 0.8730 0.6776 0.9038
Dy: 0.3006 0.6010 0.6010
Dy: 0.5000 0.7883 0.2117
Dy: 0.5000 0.2117 0.7883
Dy: 0.6994 0.3990 0.3990
Dy: 0.1270 0.3224 0.0962
Dy: 0.1270 0.0962 0.3224
Mg: 0.0000 0.3058 0.6942
Mg: 0.0000 0.6942 0.3058
In: 0.5000 0.0000 0.0000

Output
E_form: 59 meV per atom
spin magnetization: 0.001 μB/cell
E: -3.827 eV per atom